The following is a PBE calculation of TbGdMg2Cu4 after structural relaxation, from OQMD via LeMat-Bulk.

Calculated values
space group: P4/mmm (123)
total DFT energy (no corrections): -3.607 eV/atom

a = 4.6972 Å, b = 4.6972 Å, c = 6.6580 Å
α = 90.00°, β = 90.00°, γ = 90.00°
Last column: nearest neighbours and their distance in Å.
Fractional positions:
Tb 0.0000 0.0000 0.0000  8 Cu 2.88
Gd 0.5000 0.5000 0.5000  8 Cu 2.88
Mg 0.0000 0.0000 0.5000  8 Cu 2.88
Mg 0.5000 0.5000 0.0000  8 Cu 2.88
Cu 0.0000 0.5000 0.2494  2 Tb 2.88, 4 Mg 2.88, 2 Gd 2.88
Cu 0.0000 0.5000 0.7506  2 Tb 2.88, 4 Mg 2.88, 2 Gd 2.88
Cu 0.5000 0.0000 0.2494  2 Tb 2.88, 4 Mg 2.88, 2 Gd 2.88
Cu 0.5000 0.0000 0.7506  2 Tb 2.88, 4 Mg 2.88, 2 Gd 2.88